Entry 1:
The following is a PBE calculation of a relaxed structure of LiPaTe2, from Alexandria via LeMat-Bulk.

The structure in POSCAR format:
```
LiPaTe2
1.0
0.000 3.745 3.745
3.745 0.000 3.745
3.745 3.745 0.000
Li Pa Te
1 1 2
Direct
0.000 0.000 0.000
0.500 0.500 0.500
0.250 0.250 0.250
0.750 0.750 0.750
```

Calculated values
Formation energy (no corrections): -242 kJ/mol of formula units


Entry 2:
The following is a PBE calculation of a relaxed structure of Mo2HIrPt, from Alexandria via LeMat-Bulk.

The structure in POSCAR format:
```
Mo2HIrPt
1.0
3.938 0.000 0.000
0.000 3.938 0.000
0.000 0.000 4.062
Mo H Ir Pt
2 1 1 1
Direct
0.000 0.500 0.000
0.500 0.000 0.000
0.000 0.000 0.000
0.000 0.000 0.500
0.500 0.500 0.500
```

Calculated values
VASP energy: -40.61 eV/cell


Entry 3:
The following is a PBE calculation of a relaxed structure of HoSe6Br12, from Alexandria via LeMat-Bulk.

The structure in POSCAR format:
```
HoSe6Br12
1.0
5.485 3.167 6.848
-5.485 3.167 6.848
0.000 -6.333 6.848
Ho Se Br
1 6 12
Direct
0.000 0.000 0.000
0.232 0.502 0.318
0.318 0.232 0.502
0.498 0.682 0.768
0.502 0.318 0.232
0.682 0.768 0.498
0.768 0.498 0.682
0.021 0.436 0.282
0.141 0.842 0.250
0.158 0.750 0.859
0.250 0.141 0.842
0.282 0.021 0.436
0.436 0.282 0.021
0.564 0.718 0.979
0.718 0.979 0.564
0.750 0.859 0.158
0.842 0.250 0.141
0.859 0.158 0.750
0.979 0.564 0.718
```

Calculated values
Formation energy (no corrections): -607 kJ/mol of formula units


Entry 4:
The following is a PBE calculation of a relaxed structure of WBr3, from Alexandria via LeMat-Bulk.

The structure in POSCAR format:
```
WBr3
1.0
-1.611 2.520 7.200
1.611 -2.520 7.200
1.611 2.520 -7.200
W Br
1 3
Direct
0.000 0.000 0.000
0.145 0.645 0.500
0.500 0.500 0.000
0.855 0.355 0.500
```

Calculated values
Formation energy (no corrections): 63 kJ/mol of formula units


Entry 5:
The following is a PBE calculation of a relaxed structure of CdBiBr4, from Alexandria via LeMat-Bulk.

The structure in POSCAR format:
```
CdBiBr4
1.0
4.147 -8.670 0.000
4.147 8.670 0.000
-3.537 0.000 6.208
Cd Bi Br
2 2 8
Direct
0.181 0.819 0.750
0.819 0.181 0.250
0.331 0.669 0.250
0.669 0.331 0.750
0.025 0.430 0.720
0.156 0.292 0.224
0.292 0.156 0.724
0.430 0.025 0.220
0.570 0.975 0.780
0.708 0.844 0.276
0.844 0.708 0.776
0.975 0.570 0.280
```

Calculated values
Formation energy (no corrections): -343 kJ/mol of formula units


Entry 6:
The following is a PBE calculation of a relaxed structure of POsAuO2, from Alexandria via LeMat-Bulk.

The structure in POSCAR format:
```
POsAuO2
1.0
3.727 0.000 0.000
0.000 3.727 0.000
0.000 0.000 6.703
P Os Au O
1 1 1 2
Direct
0.000 0.000 0.000
0.500 0.500 0.000
0.000 0.000 0.500
0.000 0.500 0.500
0.500 0.000 0.500
```

Calculated values
Formation energy (no corrections): 607 kJ/mol of formula units


Entry 7:
The following is a PBE calculation of a relaxed structure of LaReBr2, from Alexandria via LeMat-Bulk.

The structure in POSCAR format:
```
LaReBr2
1.0
1.687 0.974 9.613
-1.687 0.974 9.613
0.000 -1.948 9.613
La Re Br
1 1 2
Direct
0.000 0.000 0.000
0.500 0.500 0.500
0.414 0.414 0.414
0.586 0.586 0.586
```

Calculated values
Formation energy (no corrections): 86 kJ/mol of formula units


Entry 8:
The following is a PBE calculation of a relaxed structure of Li5N2, from Alexandria via LeMat-Bulk.

The structure in POSCAR format:
```
Li5N2
1.0
-2.570 5.144 2.279
2.570 -5.144 2.279
2.570 5.144 -2.279
Li N
10 4
Direct
0.014 0.250 0.764
0.078 0.640 0.718
0.250 0.250 0.000
0.422 0.140 0.563
0.486 0.250 0.236
0.514 0.750 0.764
0.578 0.860 0.437
0.750 0.750 0.000
0.922 0.360 0.282
0.986 0.750 0.236
0.123 0.252 0.375
0.377 0.752 0.129
0.623 0.248 0.871
0.877 0.748 0.625
```

Calculated values
Formation energy (no corrections): -154 kJ/mol of formula units


Number 1: density of states at the Fermi level 8.0 states/eV/cell, M_tot 1.945 μB per formula unit. Number 2: density of states at the Fermi level 3.0 states/eV/cell, M_tot 0.000 μB per formula unit. Number 3: density of states at the Fermi level 11.1 states/eV/cell, M_tot 0.000 μB per formula unit. Number 4: density of states at the Fermi level 1.5 states/eV/cell, M_tot 1.989 μB per formula unit. Number 5: density of states at the Fermi level 4.8 states/eV/cell, M_tot 0.000 μB per formula unit. Number 6: density of states at the Fermi level 2.8 states/eV/cell, M_tot 3.014 μB per formula unit. Number 7: density of states at the Fermi level 5.1 states/eV/cell, M_tot 0.840 μB per formula unit. Number 8: density of states at the Fermi level 6.0 states/eV/cell, M_tot 0.881 μB per formula unit.